Ac2AsHO6: relaxed, PBE.

abc: 5.6188 5.6188 5.6613
angles: 119.77 119.77 90.00
With the nearest neighbours (Å) after each atom.
Sites, in units of the cell vectors:
O: 0.2073 0.7544 0.9613  1 As 1.82
O: 0.2328 0.2334 0.4662  1 As 1.78
O: 0.7536 0.7541 0.9606  1 As 1.82
O: 0.7150 0.7153 0.4288  1 H 0.98
O: 0.7539 0.2078 0.9610  1 As 1.82
O: 0.2076 0.2081 0.9618  1 As 1.82
Ac: 0.7617 0.2621 0.5235  8 O 2.66-2.84
Ac: 0.2616 0.7622 0.5235  8 O 2.66-2.84
As: 0.0126 0.0132 0.0254  5 O 1.78-1.82
H: 0.5928 0.5933 0.1858  1 O 0.98

Properties
DFT total energy: -6.95 eV/atom
Size of the total moment: 0.000 μB per atom
N(E_F): 0.00 states/eV/atom



LaSeCl2: relaxed, PBE.

abc: 5.1544 5.1544 5.1544
angles: 60.00 60.00 60.00
With the nearest neighbours (Å) after each atom.
Sites, in units of the cell vectors:
La: 0.5000 0.5000 0.5000  4 Se 3.16, 4 Cl 3.16
Cl: 0.0000 0.0000 0.0000  4 Cl 3.16, 4 Se 3.16
Cl: 0.2500 0.2500 0.2500  4 La 3.16, 4 Cl 3.16
Se: 0.7500 0.7500 0.7500  4 Cl 3.16, 4 La 3.16

Properties
Excess energy over the best structure of this formula in the dataset: 267 meV per atom
DFT total energy: -4.44 eV/atom
Size of the total moment: 0.260 μB per atom
N(E_F): 1.21 states/eV/atom
Formation energy without anion corrections: -5.66 eV per formula unit



Ta2NbSnP: relaxed, PBE.

abc: 4.6296 4.6580 4.6296
angles: 90.00 90.00 90.00
With the nearest neighbours (Å) after each atom.
Sites, in units of the cell vectors:
Ta: 0.5000 0.0000 0.0000  2 P 2.31
Ta: 0.0000 0.0000 0.5000  2 P 2.31
Nb: 0.0000 0.5000 0.0000  2 P 2.33
P: 0.0000 0.0000 0.0000  4 Ta 2.31, 2 Nb 2.33
Sn: 0.5000 0.5000 0.5000  4 Nb 3.27, 8 Ta 3.28

Properties
DFT total energy: -8.39 eV/atom
Size of the total moment: 0.000 μB per atom
Calculated formation energy: 0.250 eV/atom
N(E_F): 0.94 states/eV/atom



BaGeAu6: relaxed, PBE.

abc: 6.9205 6.9205 6.0534
angles: 55.14 55.14 60.00
With the nearest neighbours (Å) after each atom.
Sites, in units of the cell vectors:
Au: 0.8670 0.8670 0.7994  1 Ge 2.56, 3 Au 2.77-2.84
Au: 0.1330 0.1330 0.2006  1 Ge 2.56, 3 Au 2.77-2.84
Au: 0.4667 0.8670 0.7994  1 Ge 2.56, 3 Au 2.77-2.84
Au: 0.8670 0.4667 0.7994  1 Ge 2.56, 3 Au 2.77-2.84
Au: 0.5333 0.1330 0.2006  1 Ge 2.56, 3 Au 2.77-2.84
Au: 0.1330 0.5333 0.2006  1 Ge 2.56, 3 Au 2.77-2.84
Ba: 0.5000 0.5000 0.5000  18 Au 3.56-3.74
Ge: 0.0000 0.0000 0.0000  6 Au 2.56

Properties
DFT total energy: -3.57 eV/atom
Size of the total moment: 0.000 μB per atom
Calculated formation energy: -0.293 eV/atom
N(E_F): 0.33 states/eV/atom



Pm2Dy3HoAs6: relaxed, PBE.

abc: 4.1576 8.3108 9.2917
angles: 102.91 102.93 90.00
With the nearest neighbours (Å) after each atom.
Sites, in units of the cell vectors:
As: 0.3340 0.9222 0.6679  3 Dy 2.91-2.94, 1 Ho 2.93, 2 Pm 2.97
As: 0.6660 0.0778 0.3321  3 Dy 2.91-2.94, 1 Ho 2.93, 2 Pm 2.97
As: 0.6651 0.5875 0.3302  3 Dy 2.91, 3 Pm 2.97-2.98
As: 0.9979 0.2479 0.9959  3 Dy 2.91-2.95, 2 Ho 2.93, 1 Pm 2.96
As: 0.0021 0.7521 0.0041  3 Dy 2.91-2.95, 2 Ho 2.93, 1 Pm 2.96
As: 0.3349 0.4125 0.6698  3 Dy 2.91, 3 Pm 2.97-2.98
Ho: 0.5000 0.0000 0.0000  6 As 2.93
Dy: 0.8329 0.1661 0.6658  6 As 2.91-2.94
Dy: 0.5000 0.5000 0.0000  6 As 2.91-2.95
Dy: 0.1671 0.8339 0.3342  6 As 2.91-2.94
Pm: 0.1659 0.3322 0.3318  6 As 2.96-2.98
Pm: 0.8341 0.6678 0.6682  6 As 2.96-2.98

Properties
DFT total energy: -6.18 eV/atom
Size of the total moment: 0.000 μB per atom
Calculated formation energy: -1.527 eV/atom
N(E_F): 0.15 states/eV/atom



CaHoP2Rh5: relaxed, PBE.

abc: 4.0190 4.0190 10.8206
angles: 90.00 90.00 90.00
With the nearest neighbours (Å) after each atom.
Sites, in units of the cell vectors:
Rh: 0.5000 0.0000 0.8061  2 P 2.27
Rh: 0.5000 0.5000 0.5000  2 P 2.25
Rh: 0.5000 0.0000 0.1939  2 P 2.27
Rh: 0.0000 0.5000 0.1939  2 P 2.27
Rh: 0.0000 0.5000 0.8061  2 P 2.27
P: 0.5000 0.5000 0.2922  5 Rh 2.25-2.27
P: 0.5000 0.5000 0.7078  5 Rh 2.25-2.27
Ca: 0.0000 0.0000 0.5000  4 Rh 2.84
Ho: 0.0000 0.0000 0.0000  8 Rh 2.91

Properties
DFT total energy: -6.68 eV/atom
Size of the total moment: 0.000 μB per atom
Calculated formation energy: -0.659 eV/atom
N(E_F): 0.63 states/eV/atom



Rb2VPbI6: relaxed, PBE.

abc: 8.5376 8.5376 8.5375
angles: 60.00 60.00 90.00
With the nearest neighbours (Å) after each atom.
Sites, in units of the cell vectors:
I: 0.2639 0.2639 0.0000  1 V 2.85, 1 Pb 3.19
I: 0.2639 0.2639 0.4723  1 V 2.85, 1 Pb 3.19
I: 0.2639 0.7361 0.0000  1 V 2.85, 1 Pb 3.19
I: 0.7361 0.2639 0.0000  1 V 2.85, 1 Pb 3.19
I: 0.7361 0.7361 0.0000  1 V 2.85, 1 Pb 3.19
I: 0.7361 0.7361 0.5277  1 V 2.85, 1 Pb 3.19
V: 0.5000 0.5000 0.0000  6 I 2.85
Rb: 0.7500 0.2500 0.5000  12 I 4.27
Rb: 0.2500 0.7500 0.5000  12 I 4.27
Pb: 0.0000 0.0000 0.0000  6 I 3.19

Properties
DFT total energy: -3.26 eV/atom
Size of the total moment: 0.300 μB per atom
N(E_F): 0.00 states/eV/atom
Formation energy without anion corrections: -8.51 eV per formula unit



Ta4Mo3: relaxed, PBE.

abc: 5.4144 5.4144 7.2532
angles: 82.34 82.34 34.61
With the nearest neighbours (Å) after each atom.
Sites, in units of the cell vectors:
Mo: 0.7108 0.7108 0.8554  4 Mo 2.76, 4 Ta 2.78-2.86
Mo: 0.1437 0.1437 0.5742  6 Ta 2.75-2.82, 2 Mo 2.76
Mo: 0.0042 0.0042 0.9995  2 Mo 2.76, 6 Ta 2.77-2.80
Ta: 0.4324 0.4324 0.7195  6 Mo 2.77-2.86, 2 Ta 2.85
Ta: 0.8495 0.8495 0.4328  2 Mo 2.75, 6 Ta 2.85-2.87
Ta: 0.5697 0.5697 0.2870  4 Mo 2.79-2.82, 4 Ta 2.87-2.89
Ta: 0.2898 0.2898 0.1316  4 Mo 2.78-2.80, 4 Ta 2.85-2.89

Properties
Excess energy over the best structure of this formula in the dataset: 36 meV per atom
DFT total energy: -11.56 eV/atom
Size of the total moment: 0.000 μB per atom
Calculated formation energy: -0.144 eV/atom
N(E_F): 0.80 states/eV/atom



LaEuAg2: relaxed, PBE.

abc: 5.3892 5.3892 5.3893
angles: 60.00 60.00 60.00
With the nearest neighbours (Å) after each atom.
Sites, in units of the cell vectors:
Eu: 0.2500 0.2500 0.2500  8 Ag 3.30
Ag: 0.5000 0.5000 0.5000  4 La 3.30, 4 Eu 3.30
Ag: 0.0000 0.0000 0.0000  4 La 3.30, 4 Eu 3.30
La: 0.7500 0.7500 0.7500  8 Ag 3.30

Properties
DFT total energy: -5.51 eV/atom
Size of the total moment: 1.756 μB per atom
Calculated formation energy: -0.283 eV/atom
N(E_F): 4.41 states/eV/atom



SmZnSi2Ni5: relaxed, PBE.

abc: 4.2851 4.2851 7.1077
angles: 90.00 90.00 90.00
With the nearest neighbours (Å) after each atom.
Sites, in units of the cell vectors:
Si: 0.5000 0.5000 0.1629  5 Ni 2.23-2.40, 1 Si 2.32
Si: 0.5000 0.5000 0.8371  5 Ni 2.23-2.40, 1 Si 2.32
Ni: 0.5000 0.5000 0.5000  2 Si 2.40
Ni: 0.5000 0.0000 0.7513  2 Si 2.23
Ni: 0.0000 0.5000 0.7513  2 Si 2.23
Ni: 0.0000 0.5000 0.2487  2 Si 2.23
Ni: 0.5000 0.0000 0.2487  2 Si 2.23
Zn: 0.0000 0.0000 0.0000  8 Ni 2.78
Sm: 0.0000 0.0000 0.5000  12 Ni 2.79-3.03

Properties
DFT total energy: -5.28 eV/atom
Size of the total moment: 0.000 μB per atom
N(E_F): 0.52 states/eV/atom
Formation energy without anion corrections: -1.80 eV per formula unit



Fe2OsSe: relaxed, PBE.

abc: 5.8092 4.5966 2.8174
angles: 89.96 61.06 118.92
With the nearest neighbours (Å) after each atom.
Sites, in units of the cell vectors:
Fe: 0.5000 0.0000 0.5000  4 Fe 2.54-2.82, 4 Os 2.69-2.70, 4 Se 2.69-2.70
Fe: 0.0000 0.0000 0.0000  4 Fe 2.54-2.82, 4 Se 2.69-2.70, 4 Os 2.69-2.70
Os: 0.0000 0.5000 0.5000  2 Se 2.54, 8 Fe 2.69-2.70, 2 Os 2.82
Se: 0.5000 0.5000 0.0000  2 Os 2.54, 8 Fe 2.69-2.70, 2 Se 2.82

Properties
DFT total energy: -7.45 eV/atom
Size of the total moment: 1.232 μB per atom
N(E_F): 1.26 states/eV/atom
Formation energy without anion corrections: 1.82 eV per formula unit



Cs2AgHg6Pt: relaxed, PBE.

abc: 5.5187 5.5187 11.0730
angles: 90.00 90.00 90.00
With the nearest neighbours (Å) after each atom.
Sites, in units of the cell vectors:
Hg: 0.5000 0.0000 0.5000  2 Ag 2.76
Hg: 0.0000 0.5000 0.5000  2 Ag 2.76
Hg: 0.5000 0.5000 0.2447  1 Pt 2.71, 1 Ag 2.83
Hg: 0.0000 0.5000 0.0000  2 Pt 2.76
Hg: 0.5000 0.0000 0.0000  2 Pt 2.76
Hg: 0.5000 0.5000 0.7553  1 Pt 2.71, 1 Ag 2.83
Ag: 0.5000 0.5000 0.5000  6 Hg 2.76-2.83
Cs: 0.0000 0.0000 0.7521  12 Hg 3.89-3.93
Cs: 0.0000 0.0000 0.2479  12 Hg 3.89-3.93
Pt: 0.5000 0.5000 0.0000  6 Hg 2.71-2.76

Properties
DFT total energy: -1.45 eV/atom
Size of the total moment: 0.000 μB per atom
Calculated formation energy: -0.206 eV/atom
N(E_F): 0.39 states/eV/atom



Copy entry 8 word for word.
Ta4Mo3: relaxed, PBE.

abc: 5.4144 5.4144 7.2532
angles: 82.34 82.34 34.61
With the nearest neighbours (Å) after each atom.
Sites, in units of the cell vectors:
Mo: 0.7108 0.7108 0.8554  4 Mo 2.76, 4 Ta 2.78-2.86
Mo: 0.1437 0.1437 0.5742  6 Ta 2.75-2.82, 2 Mo 2.76
Mo: 0.0042 0.0042 0.9995  2 Mo 2.76, 6 Ta 2.77-2.80
Ta: 0.4324 0.4324 0.7195  6 Mo 2.77-2.86, 2 Ta 2.85
Ta: 0.8495 0.8495 0.4328  2 Mo 2.75, 6 Ta 2.85-2.87
Ta: 0.5697 0.5697 0.2870  4 Mo 2.79-2.82, 4 Ta 2.87-2.89
Ta: 0.2898 0.2898 0.1316  4 Mo 2.78-2.80, 4 Ta 2.85-2.89

Properties
Excess energy over the best structure of this formula in the dataset: 36 meV per atom
DFT total energy: -11.56 eV/atom
Size of the total moment: 0.000 μB per atom
Calculated formation energy: -0.144 eV/atom
N(E_F): 0.80 states/eV/atom